Computed, not measured: a geometry-optimized LiNdSc2 structure at the GGA-PBE level of DFT.

The total moment comes out at 0.00 μB/atom. Its total energy is -4.645 eV per atom. Its distance to the lowest polymorph of the same formula is 61 meV/atom. The density of states at the Fermi level comes out at 1.479 states/eV per atom. The formation energy is 18.5 kJ/mol of atoms.

The space group is R3m (No. 160, hexagonal axes) and the conventional cell measures 3.3606, 3.3606 and 32.3467 Å, with angles of 90.00, 90.00 and 120.00 degrees. The inequivalent atoms are Li at (0.0000, 0.0000, 0.0000), Nd at (0.0000, 0.0000, 0.8339), Sc at (0.0000, 0.0000, 0.4119) and Sc at (0.0000, 0.0000, 0.5886).



Computed, not measured: a geometry-optimized SrHf2Ti2 structure at the GGA-PBE level of DFT.

The total moment comes out at 0.00 μB/atom. Its total energy is -7.142 eV per atom. Its distance to the lowest polymorph of the same formula is 0 meV/atom. The density of states at the Fermi level comes out at 1.535 states/eV per atom. The formation energy is 32.2 kJ/mol of atoms.

The space group is P4/mbm (No. 127) and the conventional cell measures 8.603, 8.603 and 3.207 Å, with angles of 90.00, 90.00 and 90.00 degrees. The inequivalent atoms are Sr at (0.000, 0.000, 0.000), Hf at (0.169, 0.331, 0.500) and Ti at (0.115, 0.615, 0.000).



Computed, not measured: a geometry-optimized Y2Ti2Ru structure at the GGA-PBE level of DFT.

The total moment comes out at 0.00 μB/atom. Its total energy is -7.712 eV per atom. The density of states at the Fermi level comes out at 0.517 states/eV per atom. The formation energy is -10.9 kJ/mol of atoms.

The space group is P4/mbm (No. 127) and the conventional cell measures 6.475, 6.475 and 5.165 Å, with angles of 90.00, 90.00 and 90.00 degrees. The inequivalent atoms are Y at (0.173, 0.327, 0.000), Ti at (0.149, 0.649, 0.500) and Ru at (0.000, 0.000, 0.500).



Computed, not measured: a geometry-optimized La5In2Pb structure at the GGA-PBE level of DFT.

The total moment comes out at 0.00 μB/atom. Its total energy is -4.626 eV per atom. Its distance to the lowest polymorph of the same formula is 57 meV/atom. The density of states at the Fermi level comes out at 0.929 states/eV per atom. The formation energy is -38.4 kJ/mol of atoms.

The space group is P1 (No. 1) and the conventional cell measures 7.039, 7.042 and 7.044 Å, with angles of 118.29, 118.28 and 92.96 degrees. The inequivalent atoms are La at (0.000, 0.000, 0.000), La at (0.014, 0.015, 0.547), La at (0.467, 0.468, 0.452), La at (0.533, 0.988, 0.000), La at (0.981, 0.532, 0.000), In at (0.001, 0.501, 0.502), In at (0.498, 0.999, 0.498) and Pb at (0.495, 0.503, 0.998).



Computed, not measured: a geometry-optimized MgH2Se2O6 structure at the GGA-PBE level of DFT.

The total moment comes out at 0.00 μB/atom. Its total energy is -5.308 eV per atom. Its distance to the lowest polymorph of the same formula is 37 meV/atom. The density of states at the Fermi level comes out at 0.000 states/eV per atom.

The space group is P2_1/c (No. 14) and the conventional cell measures 5.286, 5.828 and 9.933 Å, with angles of 90.00, 109.01 and 90.00 degrees. The inequivalent atoms are Mg at (0.000, 0.000, 0.000), H at (0.452, 0.230, 0.488), Se at (0.082, 0.510, 0.846), O at (0.227, 0.508, 0.718), O at (0.240, 0.729, 0.958) and O at (0.245, 0.239, 0.454).



Computed, not measured: a geometry-optimized ScIrPd3 structure at the GGA-PBE level of DFT.

The total moment comes out at 0.11 μB/atom. Its total energy is -5.450 eV per atom. Its distance to the lowest polymorph of the same formula is 0 meV/atom. The density of states at the Fermi level comes out at 2.066 states/eV per atom. The formation energy is 68.0 kJ/mol of atoms.

The space group is Pm-3m (No. 221) and the conventional cell measures 4.821, 4.821 and 4.821 Å, with angles of 90.00, 90.00 and 90.00 degrees. The inequivalent atoms are Sc at (0.000, 0.000, 0.000), Ir at (0.500, 0.500, 0.500) and Pd at (0.000, 0.500, 0.500).